(1)
Computed, not measured: an optimized crystal structure of Pu6GaRu3 at the PBE level of DFT. Values from VASP.

Geometry as Quantum ESPRESSO input:
```
&SYSTEM
  ibrav = 0, nat = 20, ntyp = 3
/
ATOMIC_SPECIES
Ru 101.07 Ru.upf
Pu 244.00 Pu.upf
Ga 69.72 Ga.upf
CELL_PARAMETERS angstrom
6.4142 0.0001 -0.0001
0.0001 8.1918 0.2952
-0.0001 -1.5402 8.0511
ATOMIC_POSITIONS crystal
Ru 0.9288 0.8239 0.8453
Ru 0.4037 0.3299 0.6701
Pu 0.1769 0.4011 0.3282
Pu 0.1717 0.8480 0.1520
Ga 0.9965 0.3339 0.6661
Pu 0.1769 0.6718 0.5989
Pu 0.7687 0.4734 0.0434
Pu 0.6769 0.3282 0.4010
Ru 0.4288 0.8453 0.8239
Pu 0.2687 0.0434 0.4734
Pu 0.6717 0.1520 0.8480
Pu 0.7687 0.9566 0.5266
Ru 0.9288 0.1547 0.1761
Ru 0.9037 0.6701 0.3299
Ga 0.4965 0.6661 0.3339
Pu 0.1647 0.1143 0.8857
Pu 0.6769 0.5990 0.6718
Pu 0.6647 0.8857 0.1143
Ru 0.4288 0.1761 0.1547
Pu 0.2687 0.5266 0.9566
```

Summary:
The volume comes out at 21.30 Å³ per atom. The formation energy is -0.05 eV per atom. As for the space group: Cmc2_1, No. 36. The value obtained for the density is 14.32 g/cm3.

***

(2)
Computed, not measured: an optimized crystal structure of Pu3GaRu2 at the PBE level of DFT. Values from VASP.

Geometry as Quantum ESPRESSO input:
```
&SYSTEM
  ibrav = 0, nat = 12, ntyp = 3
/
ATOMIC_SPECIES
Pu 244.00 Pu.upf
Ga 69.72 Ga.upf
Ru 101.07 Ru.upf
CELL_PARAMETERS angstrom
-1.0246 3.5918 2.7890
3.7207 -3.3229 5.6342
4.2875 3.2333 -6.4880
ATOMIC_POSITIONS crystal
Pu 0.5000 0.7500 0.0000
Pu 0.1861 0.4655 0.3703
Ga 0.0000 0.5000 0.0000
Ga 0.0000 0.0000 0.0000
Ru 0.6405 0.1364 0.2756
Pu 0.8139 0.0345 0.6297
Pu 0.5000 0.2500 0.0000
Pu 0.1861 0.9655 0.3703
Ru 0.6405 0.6364 0.2756
Ru 0.3595 0.3636 0.7244
Ru 0.3595 0.8636 0.7244
Pu 0.8139 0.5345 0.6297
```

Summary:
The volume comes out at 20.28 Å³ per atom. The formation energy is -0.16 eV per atom. As for the space group: P-1, No. 2. As for the energy above the most stable polymorph in this dataset: 25 meV per atom. The value obtained for the density is 13.70 g/cm3.

***

Q: Which of these has the highest volume?
A: Pu6GaRu3

***

Q: The lowest density belongs to which entry?
A: Pu3GaRu2